Record 1
Material: Na2LiCd12Ag3
Method: DFT, PBE
State: optimized geometry

a = 11.098 Å, b = 11.098 Å, c = 11.098 Å
α = 38.22°, β = 38.22°, γ = 38.22°
Atoms (fractional coordinates):
Cd 0.080 0.080 0.644
Cd 0.417 0.417 0.816
Cd 0.920 0.356 0.920
Cd 0.920 0.920 0.356
Cd 0.184 0.583 0.583
Li 0.000 0.000 0.000
Cd 0.080 0.644 0.080
Cd 0.644 0.080 0.080
Cd 0.417 0.816 0.417
Ag 0.500 0.000 0.000
Cd 0.356 0.920 0.920
Ag 0.000 0.000 0.500
Cd 0.583 0.583 0.184
Na 0.353 0.353 0.353
Na 0.647 0.647 0.647
Cd 0.583 0.184 0.583
Cd 0.816 0.417 0.417
Ag 0.000 0.500 0.000

Summary:
Spin magnetization in μB/atom: 0.000
Volume in Å³ per atom: 26.11
Formation energy from the elements in meV/atom: 75.4
Space group: No. 166

---

Record 2
Material: TbHo2Tl3
Method: DFT, PBE
State: optimized geometry

a = 3.658 Å, b = 3.658 Å, c = 12.244 Å
α = 90.00°, β = 90.00°, γ = 90.00°
Atoms (fractional coordinates):
Tl 0.000 0.000 0.668
Ho 0.500 0.500 0.834
Tl 0.000 0.000 0.332
Ho 0.500 0.500 0.166
Tb 0.500 0.500 0.500
Tl 0.000 0.000 0.000

Summary:
Spin magnetization in μB/atom: 0.000
Volume in Å³ per atom: 27.30
Formation energy from the elements in meV/atom: -340.5
Space group: No. 123